1.
Compound: Sm2TmTe2
Source: Alexandria
Functional: PBE
Structure: optimized geometry

Unit cell a=6.267 b=4.157 c=12.157 alpha=90.00 beta=100.31 gamma=90.00
Atoms (fractional coordinates):
Sm1 0.110 0.250 0.238
Sm2 0.282 0.250 0.624
Sm3 0.718 0.750 0.376
Sm4 0.890 0.750 0.762
Tm1 0.208 0.250 0.966
Tm2 0.792 0.750 0.034
Te1 0.235 0.750 0.427
Te2 0.416 0.750 0.826
Te3 0.584 0.250 0.174
Te4 0.765 0.250 0.573

## Properties
Formation energy from raw total energies = -1.008 eV per atom
Symmetry = P2_1/m (11)
Crystal system = monoclinic

---

2.
Compound: PmB4Pt3O12
Source: Alexandria
Functional: PBE
Structure: optimized geometry

Unit cell a=6.277 b=6.277 c=6.277 alpha=102.37 beta=102.37 gamma=102.37
Atoms (fractional coordinates):
Pm1 0.000 0.000 0.000
B1 0.050 0.500 0.950
B2 0.500 0.500 0.500
B3 0.500 0.950 0.050
B4 0.950 0.050 0.500
Pt1 0.000 0.546 0.454
Pt2 0.454 0.000 0.546
Pt3 0.546 0.454 0.000
O1 0.030 0.637 0.808
O2 0.095 0.905 0.500
O3 0.192 0.363 0.970
O4 0.358 0.642 0.500
O5 0.363 0.970 0.192
O6 0.500 0.095 0.905
O7 0.500 0.358 0.642
O8 0.637 0.808 0.030
O9 0.642 0.500 0.358
O10 0.808 0.030 0.637
O11 0.905 0.500 0.095
O12 0.970 0.192 0.363

## Properties
Formation energy from raw total energies = -1.613 eV per atom
Symmetry = R32 (155)
Crystal system = trigonal

---

3.
Compound: FePb
Source: Alexandria
Functional: PBE
Structure: optimized geometry

Unit cell a=7.550 b=7.550 c=7.550 alpha=92.61 beta=92.61 gamma=155.34
Atoms (fractional coordinates):
Fe1 0.069 0.394 0.463
Fe2 0.394 0.931 0.326
Fe3 0.606 0.069 0.674
Fe4 0.931 0.606 0.537
Pb1 0.121 0.807 0.928
Pb2 0.193 0.121 0.314
Pb3 0.807 0.879 0.686
Pb4 0.879 0.193 0.072

## Properties
Symmetry = I4/m (87)
Crystal system = tetragonal
Energy relative to the elements = 70 kJ/mol of formula units

---

4.
Compound: SrInBrCl4
Source: Alexandria
Functional: PBE
Structure: optimized geometry

Unit cell a=7.732 b=7.732 c=9.938 alpha=101.14 beta=101.14 gamma=72.65
Atoms (fractional coordinates):
Sr1 0.179 0.179 0.038
Sr2 0.821 0.821 0.962
In1 0.369 0.369 0.736
In2 0.631 0.631 0.264
Br1 0.012 0.012 0.205
Br2 0.988 0.988 0.795
Cl1 0.083 0.469 0.838
Cl2 0.321 0.321 0.495
Cl3 0.437 0.437 0.160
Cl4 0.469 0.083 0.838
Cl5 0.531 0.917 0.162
Cl6 0.563 0.563 0.840
Cl7 0.679 0.679 0.505
Cl8 0.917 0.531 0.162

## Properties
Formation energy from raw total energies = -1.533 eV per atom
Symmetry = C2/m (12)
Crystal system = monoclinic

---

5.
Compound: TaCoTe2
Source: Alexandria
Functional: PBE
Structure: optimized geometry

Unit cell a=3.223 b=3.223 c=8.895 alpha=90.00 beta=90.00 gamma=99.96
Atoms (fractional coordinates):
Ta1 0.000 0.000 0.000
Co1 0.500 0.500 0.849
Te1 0.000 0.000 0.665
Te2 0.500 0.500 0.235

## Properties
Formation energy from raw total energies = 0.067 eV per atom
Symmetry = Cmm2 (35)
Crystal system = orthorhombic

---

6.
Compound: GaPt4
Source: Alexandria
Functional: PBE
Structure: optimized geometry

Unit cell a=7.980 b=7.980 c=7.980 alpha=151.11 beta=139.64 gamma=50.39
Atoms (fractional coordinates):
Ga1 0.353 0.103 0.250
Ga2 0.647 0.897 0.750
Pt1 0.000 0.500 0.500
Pt2 0.154 0.904 0.250
Pt3 0.190 0.689 0.500
Pt4 0.311 0.311 0.000
Pt5 0.500 0.500 0.000
Pt6 0.689 0.689 0.000
Pt7 0.810 0.311 0.500
Pt8 0.846 0.096 0.750

## Properties
Polymorph energy (0 for the lowest one) = 0 meV/atom
Symmetry = Imma (74)
Crystal system = orthorhombic
Energy relative to the elements = -133 kJ/mol of formula units

---

7.
Compound: Y2CuHPd
Source: Alexandria
Functional: PBE
Structure: optimized geometry

Unit cell a=4.938 b=4.938 c=3.592 alpha=90.00 beta=90.00 gamma=90.00
Atoms (fractional coordinates):
Y1 0.000 0.500 0.000
Y2 0.500 0.000 0.000
Cu1 0.000 0.000 0.500
H1 0.000 0.000 0.000
Pd1 0.500 0.500 0.500

## Properties
Polymorph energy (0 for the lowest one) = 0 meV/atom
Symmetry = P4/mmm (123)
Crystal system = tetragonal

---

8.
Compound: LaPm4PrEr2
Source: Alexandria
Functional: PBE
Structure: optimized geometry

Unit cell a=5.128 b=5.150 c=10.303 alpha=90.00 beta=90.10 gamma=90.00
Atoms (fractional coordinates):
La1 0.000 0.000 0.000
Pm1 0.000 0.500 0.251
Pm2 0.000 0.500 0.749
Pm3 0.500 0.000 0.252
Pm4 0.500 0.000 0.748
Pr1 0.500 0.500 0.500
Er1 0.000 0.000 0.500
Er2 0.500 0.500 0.000

## Properties
Symmetry = P2/m (10)
Crystal system = monoclinic
Energy relative to the elements = 17 kJ/mol of formula units

---

9.
Compound: Zr5NiBi2
Source: Alexandria
Functional: PBE
Structure: optimized geometry

Unit cell a=7.359 b=11.860 c=4.173 alpha=90.00 beta=90.00 gamma=90.00
Atoms (fractional coordinates):
Zr1 0.000 0.000 0.000
Zr2 0.127 0.305 0.000
Zr3 0.195 0.566 0.500
Zr4 0.305 0.066 0.500
Zr5 0.373 0.805 0.000
Zr6 0.500 0.500 0.000
Zr7 0.627 0.195 0.000
Zr8 0.695 0.934 0.500
Zr9 0.805 0.434 0.500
Zr10 0.873 0.695 0.000
Ni1 0.000 0.500 0.000
Ni2 0.500 0.000 0.000
Bi1 0.083 0.824 0.500
Bi2 0.417 0.324 0.500
Bi3 0.583 0.676 0.500
Bi4 0.917 0.176 0.500

## Properties
Symmetry = Pbam (55)
Crystal system = orthorhombic
Energy relative to the elements = -196 kJ/mol of formula units

---

10.
Compound: La2ZnSnIr
Source: Alexandria
Functional: PBE
Structure: optimized geometry

Unit cell a=5.513 b=5.513 c=4.871 alpha=90.00 beta=90.00 gamma=90.00
Atoms (fractional coordinates):
La1 0.000 0.500 0.000
La2 0.500 0.000 0.000
Zn1 0.000 0.000 0.500
Sn1 0.500 0.500 0.500
Ir1 0.000 0.000 0.000

## Properties
Symmetry = P4/mmm (123)
Crystal system = tetragonal
Energy relative to the elements = -255 kJ/mol of formula units

---

11.
Compound: PPtCl2
Source: Alexandria
Functional: PBE
Structure: optimized geometry

Unit cell a=3.138 b=3.138 c=8.347 alpha=90.00 beta=90.00 gamma=90.00
Atoms (fractional coordinates):
P1 0.000 0.000 0.000
Pt1 0.500 0.500 0.153
Cl1 0.000 0.000 0.357
Cl2 0.500 0.500 0.777

## Properties
Formation energy from raw total energies = 0.159 eV per atom
Polymorph energy (0 for the lowest one) = 735 meV/atom
Symmetry = P4mm (99)
Crystal system = tetragonal

---

12.
Compound: TbGeSb
Source: Alexandria
Functional: PBE
Structure: optimized geometry

Unit cell a=8.314 b=8.314 c=8.314 alpha=34.99 beta=34.99 gamma=34.99
Atoms (fractional coordinates):
Tb1 0.229 0.229 0.229
Tb2 0.771 0.771 0.771
Ge1 0.105 0.105 0.105
Ge2 0.895 0.895 0.895
Sb1 0.367 0.367 0.367
Sb2 0.633 0.633 0.633

## Properties
Formation energy from raw total energies = -0.274 eV per atom
Symmetry = R-3m (166)
Crystal system = trigonal